No. 1
Na2B3C | PBE | relaxed

ρ ... 2.381 g/cm³
Magnetization ... 0.000 μB per atom
Density of states at the Fermi level ... 1.7 states/eV/f.u.
Crystal system ... trigonal
Distance to the lowest polymorph of the same formula ... 57 meV per atom

The structure in POSCAR format:
```
Na2B3C
1.0
-0.9834 -2.7447 0.0142
2.8686 0.5209 0.0298
-0.5196 0.4082 42.8305
C Na B
5 10 15
Cartesian
0.0147 -1.4316 23.5844
1.3496 -0.3830 19.3934
1.1433 -0.2209 36.3997
-0.1916 -1.2695 40.5921
-0.0897 -1.3495 32.1928
-0.5179 0.4069 42.6881
-0.1567 0.1231 12.9145
-0.3117 0.2449 25.6925
-0.2605 0.2046 21.4693
-0.4158 0.3266 34.2711
-0.0510 0.0400 4.2005
-0.2093 0.1645 17.2559
-0.3645 0.2864 30.0437
-0.4668 0.3667 38.4741
-0.1038 0.0816 8.5582
1.5600 -0.5483 2.0529
1.2986 -0.3430 23.5923
0.0656 -1.4716 19.3870
-0.0375 -1.3906 27.8873
0.2231 -1.5953 6.4051
1.1943 -0.2610 32.1953
0.1176 -1.5124 15.1050
1.4015 -0.4238 15.1101
1.0923 -0.1809 40.5989
1.5071 -0.5068 6.4103
1.2465 -0.3020 27.8925
0.2760 -1.6368 2.0478
0.1704 -1.5539 10.7499
-0.1407 -1.3095 36.3941
1.4544 -0.4653 10.7551
```

---

No. 2
Na2B3C | PBE | relaxed

ρ ... 2.368 g/cm³
Magnetization ... 0.000 μB per atom
Density of states at the Fermi level ... 1.0 states/eV/f.u.
Crystal system ... monoclinic
Distance to the lowest polymorph of the same formula ... 12 meV per atom

The structure in POSCAR format:
```
Na2B3C
1.0
-5.1688 7.8461 7.0001
-3.8712 6.3822 9.0310
8.8482 3.9895 -2.7774
B Na C
15 10 5
Cartesian
-4.3245 12.3285 11.6491
2.8836 2.7668 0.1520
2.9107 12.1471 6.8959
-2.5308 7.5671 7.0712
2.3374 10.6484 6.1819
-1.2542 10.8341 8.6104
2.3360 1.3452 -0.5228
-3.1249 15.3474 13.0587
-0.6954 12.2400 9.2668
4.1936 6.0403 1.6746
-0.6072 3.1375 2.6494
-3.0916 6.0859 6.3618
1.0007 7.2540 4.5893
-2.5718 16.7708 13.7313
0.4574 15.1579 10.6334
3.4724 8.8904 4.1896
-1.9127 13.7708 11.1478
1.6770 13.5789 8.7161
-5.5331 13.9622 13.5989
-3.6666 9.3317 9.0687
-1.8266 4.6533 4.5210
1.7208 4.4359 2.0980
-0.1112 9.0981 6.6289
0.0026 0.0089 0.0048
5.3103 4.2486 -0.3303
0.4741 5.9286 3.9704
-7.8585 12.5354 14.0561
7.6998 5.7305 -0.7888
-4.8641 10.9510 11.0010
4.7165 7.3617 2.2929
```

---

No. 3
Na5B8C2 | PBE | relaxed

ρ ... 2.323 g/cm³
Magnetization ... 0.000 μB per atom
Density of states at the Fermi level ... 3.1 states/eV/f.u.
Crystal system ... orthorhombic
Distance to the lowest polymorph of the same formula ... 11 meV per atom

The structure in POSCAR format:
```
Na5B8C2
1.0
-10.2575 6.3257 5.6448
8.6864 -6.1699 -7.9733
-3.6300 -7.6168 1.9394
B Na C
16 10 4
Cartesian
-8.6960 2.7930 4.3549
6.5451 -7.2603 -6.6015
-4.9328 0.3107 1.6496
-11.5506 -0.3298 6.0718
2.8227 -4.8049 -3.9256
0.8696 -8.5222 -2.8566
-2.8886 -6.0433 -0.1550
-7.8459 -2.7734 3.4086
4.5921 -10.9776 -5.5326
-4.0826 -5.2557 0.7033
-1.2281 -2.1330 -1.0136
1.5732 -3.9807 -3.0274
-9.8901 3.5806 5.2132
5.2957 -6.4361 -5.7033
-0.3798 -7.6981 -1.9584
3.3426 -10.1535 -4.6344
5.0437 -13.7652 -6.0239
-10.0784 -3.7837 4.8473
-2.7002 1.3210 0.2108
-0.6839 -4.9816 -1.5715
1.1216 -1.1931 -2.5361
6.8492 -9.9767 -6.9885
-4.5008 -2.4572 1.1728
4.8977 -3.6708 -5.2497
-8.2778 -0.0056 3.8854
3.0827 -7.4792 -4.2800
-10.4460 -1.0584 5.2778
-6.0675 1.0591 2.4653
-2.3326 -1.4044 -0.2196
-6.7112 -3.5219 2.5929
```

---

No. 4
NaB4C | PBE | relaxed

ρ ... 2.369 g/cm³
Magnetization ... 0.000 μB per atom
Density of states at the Fermi level ... 1.3 states/eV/f.u.
Crystal system ... orthorhombic
Distance to the lowest polymorph of the same formula ... 507 meV per atom

The structure in POSCAR format:
```
NaB4C
1.0
-1.9306 -1.9715 2.4227
2.9844 -3.3232 -0.3261
4.4921 3.6633 3.7781
B Na C
8 2 2
Cartesian
1.9745 -0.1511 4.2334
2.7381 1.8204 3.6634
2.8077 -3.4519 2.2112
0.5269 -2.6474 1.0483
3.5712 -1.4804 1.6412
1.5914 -2.0975 2.3441
3.9544 0.4661 3.5305
-0.9653 -0.9858 1.2113
4.2396 -1.2259 5.1638
1.3062 -0.4056 0.7109
4.3737 -0.8712 2.7765
1.1721 -0.7603 3.0981
```

---

No. 5
Na2B3C | PBE | relaxed

ρ ... 2.377 g/cm³
Magnetization ... 0.000 μB per atom
Density of states at the Fermi level ... 1.1 states/eV/f.u.
Crystal system ... monoclinic
Distance to the lowest polymorph of the same formula ... 46 meV per atom

The structure in POSCAR format:
```
Na2B3C
1.0
7.7366 -0.0278 0.0000
-6.0959 4.7664 0.0000
0.0000 0.0000 8.6050
B C Na
15 5 10
Cartesian
0.5487 1.5838 2.1513
0.0689 4.4170 2.1513
-1.5059 4.1515 6.4538
-2.2466 2.6016 6.4538
-1.1026 1.2903 6.4538
2.7504 3.4724 2.1513
0.9882 3.2876 6.4538
0.6036 1.6147 6.4538
3.2343 0.6649 2.1513
3.2393 0.5283 6.4538
3.9099 2.1057 6.4538
1.5655 0.2717 6.4538
-2.2517 2.4583 2.1513
-1.6741 4.1228 2.1513
2.7667 3.3566 6.4538
0.0108 4.5008 6.4538
-1.0921 1.2638 2.1513
1.1424 3.1696 2.1513
3.8390 2.2069 2.1513
1.6231 0.3493 2.1513
-0.5583 2.8575 0.0519
7.7279 -0.0210 4.2779
-0.5583 2.8575 4.2506
4.9767 0.9381 0.0456
7.7279 -0.0210 0.0246
2.2088 1.8671 0.0164
2.2088 1.8671 4.2861
-3.3429 3.7923 4.2621
4.9767 0.9381 4.2569
-3.3429 3.7923 0.0404
```

---

No. 6
Na2B3C | PBE | relaxed

ρ ... 2.368 g/cm³
Magnetization ... 0.000 μB per atom
Density of states at the Fermi level ... 1.2 states/eV/f.u.
Crystal system ... orthorhombic
Distance to the lowest polymorph of the same formula ... 19 meV per atom

The structure in POSCAR format:
```
Na2B3C
1.0
-1.3538 -10.6785 -7.4492
4.0945 9.9681 7.4314
-1.1914 -4.7729 7.0585
Na C B
10 5 15
Cartesian
0.7309 -3.0362 8.5426
-0.8635 -8.9510 -0.9011
-2.5408 -15.4341 -0.4103
-1.9524 -13.0769 -3.8963
-1.4470 -11.2885 2.5559
1.3233 -0.6631 5.0331
2.4024 3.4256 8.0030
0.2253 -4.8236 2.0279
-0.3685 -7.2027 5.5463
1.8152 1.0735 11.4815
-0.2180 -6.4389 -1.7690
-0.4192 -7.3305 2.8377
2.8209 4.9482 11.6873
2.0037 1.9801 4.2989
-1.5226 -11.5117 -0.1758
-0.8821 -8.9557 -3.5829
2.3400 3.2548 5.2175
-1.2470 -10.3382 -4.5793
0.1055 -5.2128 -0.8853
1.2600 -0.8378 2.2679
0.2632 -4.7445 4.7015
3.0554 5.9657 7.1714
-1.8638 -12.8046 -1.1077
-0.7581 -8.6145 1.9123
3.4007 7.2743 8.1145
0.9090 -2.1681 1.3091
1.7490 0.8862 8.7596
0.6461 -3.2936 5.7472
2.4744 3.6348 10.7407
1.3715 -0.5444 7.7286
```

---

No. 7
Na2B3C | PBE | relaxed

ρ ... 2.365 g/cm³
Magnetization ... 0.000 μB per atom
Density of states at the Fermi level ... 1.7 states/eV/f.u.
Crystal system ... orthorhombic
Distance to the lowest polymorph of the same formula ... 59 meV per atom

The structure in POSCAR format:
```
Na2B3C
1.0
5.0734 0.0000 0.0000
-2.5367 4.3760 0.0000
0.0000 0.0000 8.5785
Na B C
6 9 3
Cartesian
-0.0036 2.9189 0.0207
2.5331 4.3745 4.2685
2.5444 1.4587 0.0217
-0.0036 2.9189 4.2685
2.5444 1.4587 4.2676
2.5331 4.3745 0.0207
1.7403 2.9805 2.1446
0.8354 1.4587 2.1446
-0.7964 4.3128 2.1446
1.6987 0.0022 6.4339
0.7587 1.4587 6.4339
3.4162 2.8491 6.4339
4.1598 1.4587 2.1446
1.6987 2.9152 6.4339
3.4162 0.0683 6.4339
0.8333 4.3730 2.1446
3.3700 2.9203 2.1446
-0.8381 1.4587 6.4339
```

---

No. 8
Na5B8C2 | PBE | relaxed

ρ ... 2.321 g/cm³
Magnetization ... 0.000 μB per atom
Density of states at the Fermi level ... 3.8 states/eV/f.u.
Crystal system ... monoclinic
Distance to the lowest polymorph of the same formula ... 10 meV per atom

The structure in POSCAR format:
```
Na5B8C2
1.0
8.6366 0.2437 -3.0298
8.0978 3.0124 -3.0298
-0.7027 -0.1367 13.6693
Na B C
10 16 4
Cartesian
9.5316 1.8547 5.9217
6.5117 1.2670 1.6711
2.7119 0.5277 11.0890
3.0634 0.5961 4.2603
16.0292 3.1190 7.6032
13.3314 2.5940 -3.4643
16.3588 3.1831 0.7636
12.9715 2.5240 3.3520
6.1350 1.1938 8.4978
9.8898 1.9244 -0.8820
2.8289 0.5504 0.2678
13.3782 2.6031 7.5822
0.3459 0.0673 4.1651
15.5814 3.0318 3.3109
3.7903 0.7375 1.6082
8.8508 1.7222 8.6296
12.7968 2.4900 -0.5393
10.5371 2.0503 -3.6837
-0.1388 -0.0270 10.7986
12.3780 2.4085 6.1808
3.3610 0.6540 8.3067
5.8107 1.1306 4.3977
10.0988 1.9650 3.0449
16.0796 3.1288 -3.2940
7.0991 1.3814 -1.1256
2.3928 0.4656 6.9720
13.7032 2.6664 0.7121
6.7545 1.3143 5.6930
5.4827 1.0668 11.2714
9.1936 1.7889 1.8092
```

---

No. 9
Na2B3C | PBE | relaxed

ρ ... 2.370 g/cm³
Magnetization ... 0.000 μB per atom
Density of states at the Fermi level ... 1.5 states/eV/f.u.
Crystal system ... orthorhombic
Distance to the lowest polymorph of the same formula ... 24 meV per atom

The structure in POSCAR format:
```
Na2B3C
1.0
-2.6417 -9.2843 8.8161
5.3005 8.3162 -8.5818
1.4796 5.5979 6.3386
Na B C
10 15 5
Cartesian
0.5462 -2.2113 1.8676
3.6001 6.8668 4.7227
1.2753 0.5471 4.9909
-2.6352 -9.2664 8.8160
4.4425 7.5662 -1.9454
-1.0594 -5.7764 5.3562
2.8604 4.0682 1.5538
-1.8997 -6.4840 11.9666
-0.3215 -2.9845 8.5174
3.7129 4.8059 -5.0709
5.4148 10.3087 -1.6473
2.0121 1.6085 1.0167
3.5000 4.9058 -2.2427
-1.2122 -5.5367 8.0797
0.3984 -1.9674 4.5515
2.1596 3.0949 5.4835
5.1155 8.4858 -5.7815
1.1126 0.7747 7.7770
0.6020 -0.3568 8.8954
1.4561 0.3765 2.2346
-0.1553 -3.1945 5.7644
-0.9765 -3.8547 12.3531
2.6902 4.2707 4.3212
4.2492 7.7257 0.9060
3.7214 6.5559 2.0623
-0.4888 -2.7741 11.2849
3.0066 3.8125 -1.1619
-1.7156 -6.6523 9.1824
5.8864 11.3538 -2.6803
4.6170 7.3812 -4.6896
```

---

No. 10
Na2B3C | PBE | relaxed

ρ ... 2.367 g/cm³
Magnetization ... 0.000 μB per atom
Density of states at the Fermi level ... 1.1 states/eV/f.u.
Crystal system ... monoclinic
Distance to the lowest polymorph of the same formula ... 45 meV per atom

The structure in POSCAR format:
```
Na2B3C
1.0
-6.5894 -0.0107 -4.0224
5.7642 -4.6293 2.2026
-4.3568 -2.0265 7.1426
C B Na
5 15 10
Cartesian
-4.1096 -2.6689 -0.6702
-2.4608 -0.8117 0.8624
0.0122 -1.7230 2.1124
-3.5218 -3.1016 4.7531
-2.7505 -5.8667 4.4391
-3.7364 -4.6080 4.1948
-1.6508 -3.5753 0.5725
-1.0821 -3.9813 5.9917
-2.2390 -2.6977 5.6502
-5.9986 -2.0763 3.5332
-0.5547 -4.9277 0.8573
-5.1763 -4.9182 3.2285
1.1302 -2.9254 2.4532
-6.2946 -3.6978 2.8926
-1.4699 -5.5566 5.3082
-3.7841 -1.2002 -0.0549
-4.5445 -1.9261 4.4629
0.8495 -4.5097 1.8325
-1.3656 -1.9939 1.1951
-3.0813 -3.9363 -0.4025
3.2984 -3.6952 0.9711
0.7994 -2.7894 -0.2510
-1.6574 -1.8510 -1.5284
-2.1652 -1.0130 3.5530
-6.2920 -1.9454 0.7894
1.1263 -4.7055 4.5320
-4.1205 -0.9353 -2.7705
-3.8293 -2.8613 2.0322
-0.0090 -0.0101 0.0181
-1.3346 -3.7821 3.2476
```

---

No. 11
Na8B9C7 | PBE | relaxed

ρ ... 2.562 g/cm³
Magnetization ... 0.000 μB per atom
Density of states at the Fermi level ... 4.1 states/eV/f.u.
Crystal system ... monoclinic
Distance to the lowest polymorph of the same formula ... 7 meV per atom

The structure in POSCAR format:
```
Na8B9C7
1.0
8.5651 0.2364 -2.4789
8.0219 3.0108 -2.4789
-0.0011 -0.0002 9.9121
Na C B
8 7 9
Cartesian
8.2750 1.6200 -0.0059
0.0052 0.0010 9.9099
8.3083 1.6265 4.9539
4.1373 0.8100 4.9526
12.4277 2.4330 4.9504
0.0088 0.0017 4.9557
12.4356 2.4345 0.0003
4.1584 0.8141 -0.0032
14.5144 2.8415 3.3027
6.2148 1.2167 -1.7325
10.3798 2.0320 1.6568
2.0619 0.4036 1.6584
2.0774 0.4067 6.6136
10.3585 2.0279 6.6135
6.2249 1.2186 3.3823
6.2215 1.2180 1.7890
10.3583 2.0278 -1.6463
14.5084 2.8403 -3.4329
2.0701 0.4053 8.2644
14.5177 2.8421 1.6919
14.5119 2.8410 -1.6766
6.2184 1.2174 6.5590
10.3739 2.0309 3.3032
2.0756 0.4063 3.3062
```

---

No. 12
Na4B5C3 | PBE | relaxed

ρ ... 2.490 g/cm³
Magnetization ... 0.000 μB per atom
Density of states at the Fermi level ... 0.9 states/eV/f.u.
Crystal system ... monoclinic
Distance to the lowest polymorph of the same formula ... 36 meV per atom

The structure in POSCAR format:
```
Na4B5C3
1.0
-8.0844 3.1155 -2.3794
5.4157 -7.1404 -0.6406
-1.9554 -1.8634 4.2114
Na B C
8 10 6
Cartesian
1.7301 -4.5019 1.7854
-1.6574 -1.9214 1.3398
-5.0199 0.6260 0.9160
-4.7089 0.5522 -1.9442
2.0402 -4.5771 -1.0758
-2.9667 -3.9669 -0.1484
-1.3344 -2.0125 -1.5100
0.0000 0.0000 0.0000
-0.6113 -3.8493 2.9847
-0.2892 -3.8912 0.1921
-2.7042 -0.0628 -0.2122
-3.9926 -1.2938 2.5669
-0.6315 -4.5945 -1.3755
-7.0998 1.1455 -0.7457
-1.9199 -5.8255 1.4036
-4.3349 -1.9971 0.9993
2.4757 -7.0338 1.9371
-4.0128 -2.0391 -1.7933
3.0860 -6.4626 0.5674
-3.6902 -1.3742 -0.3316
-7.7102 0.5742 0.6240
-0.9339 -4.5142 1.5230
-5.3291 -3.2867 1.0327
0.7049 -2.6016 0.1587
```

---

No. 13
Na4B5C3 | PBE | relaxed

ρ ... 2.490 g/cm³
Magnetization ... 0.000 μB per atom
Density of states at the Fermi level ... 0.9 states/eV/f.u.
Crystal system ... orthorhombic
Distance to the lowest polymorph of the same formula ... 34 meV per atom

The structure in POSCAR format:
```
Na4B5C3
1.0
4.9267 0.0000 0.0000
0.0000 5.7837 0.0000
0.0000 0.0000 8.5221
Na B C
8 10 6
Cartesian
4.9255 5.7822 0.0201
2.4688 1.4478 4.2345
2.4622 4.3393 4.2410
2.4622 4.3393 0.0201
2.4688 1.4478 0.0266
4.9255 5.7822 4.2410
0.0054 2.8900 0.0266
0.0054 2.8900 4.2345
3.2823 2.8917 2.1305
3.9880 1.3588 6.3915
0.8196 4.3373 2.1305
1.6567 5.7325 6.3915
0.8189 1.4461 2.1305
1.5246 2.9790 6.3915
0.8901 1.4587 6.3915
3.2830 0.0005 2.1305
3.3534 2.8791 6.3915
4.1201 4.3891 6.3915
1.6405 2.8916 2.1305
4.1038 1.4462 2.1305
3.3179 5.7462 6.3915
1.6399 0.0004 2.1305
4.1033 4.3374 2.1305
0.8546 4.3753 6.3915
```